Record 1
TaAl2SiPt: optimized geometry, PBE.

Unit cell a=5.030 b=5.030 c=4.824 alpha=90.00 beta=90.00 gamma=90.00
Space group P4/mmm (No. 123)
Asymmetric unit:
Ta1 0.000 0.000 0.000 (multiplicity 1)
Al1 0.000 0.500 0.000 (multiplicity 2)
Si1 0.500 0.500 0.500 (multiplicity 1)
Pt1 0.000 0.000 0.500 (multiplicity 1)

Summary:
For the spin magnetization, the calculation gives 0.00 μB per cell. The uncorrected formation energy is 105.0 kJ per mole of atoms.

---

Record 2
Be3Hg: optimized geometry, PBE.

Unit cell a=2.972 b=2.972 c=5.365 alpha=90.00 beta=90.00 gamma=90.00
Space group P4/mmm (No. 123)
Asymmetric unit:
Be1 0.000 0.000 0.000 (multiplicity 1)
Be2 0.500 0.500 0.197 (multiplicity 2)
Hg1 0.000 0.000 0.500 (multiplicity 1)

Summary:
The value obtained for the relative energy among the computed polymorphs is 63 kJ/mol of formula units. For the spin magnetization, the calculation gives 0.00 μB per cell. As for the formation energy: 427.3 meV per atom.

---

Record 3
PmNdSO2: optimized geometry, PBE.

Unit cell a=3.900 b=3.900 c=12.385 alpha=90.00 beta=90.00 gamma=90.00
Space group I4mm (No. 107)
Asymmetric unit:
Pm1 0.000 0.000 0.000 (multiplicity 2)
Nd1 0.000 0.000 0.302 (multiplicity 2)
S1 0.000 0.000 0.652 (multiplicity 2)
O1 0.000 0.500 0.403 (multiplicity 4)

Summary:
For the spin magnetization, the calculation gives 0.00 μB per cell. The uncorrected formation energy is -286.3 kJ per mole of atoms.

---

Record 4
Pr12SnIr6: optimized geometry, PBE.

Unit cell a=10.371 b=10.371 c=10.371 alpha=90.00 beta=90.00 gamma=90.00
Space group Im-3 (No. 204)
Asymmetric unit:
Pr1 0.000 0.305 0.190 (multiplicity 24)
Sn1 0.000 0.000 0.000 (multiplicity 2)
Ir1 0.000 0.124 0.500 (multiplicity 12)

Summary:
For the spin magnetization, the calculation gives 0.00 μB per cell. As for the formation energy: -496.2 meV per atom.

---

Record 5
LiTa2Pt2: optimized geometry, PBE.

Unit cell a=8.065 b=8.065 c=2.770 alpha=90.00 beta=90.00 gamma=90.00
Space group P4/mbm (No. 127)
Asymmetric unit:
Li1 0.000 0.000 0.000 (multiplicity 2)
Ta1 0.123 0.377 0.000 (multiplicity 4)
Pt1 0.171 0.671 0.500 (multiplicity 4)

Summary:
The value obtained for the relative energy among the computed polymorphs is 2 kJ/mol of formula units. For the spin magnetization, the calculation gives 0.00 μB per cell. As for the formation energy: -399.8 meV per atom.

---

Record 6
TiGe: optimized geometry, PBE.

Unit cell a=4.509 b=15.355 c=2.882 alpha=90.00 beta=90.00 gamma=90.00
Space group Cmmm (No. 65)
Asymmetric unit:
Ti1 0.000 0.000 0.000 (multiplicity 2)
Ti2 0.000 0.334 0.500 (multiplicity 4)
Ge1 0.000 0.176 0.000 (multiplicity 4)
Ge2 0.000 0.500 0.500 (multiplicity 2)

Summary:
For the spin magnetization, the calculation gives 0.00 μB per cell. As for the formation energy: -430.0 meV per atom.